Entry 1:
DFT (PBE) results for Al4Ag5 after structural relaxation.

The space group is Immm (No. 71) and the conventional cell measures 3.565, 8.696 and 9.927 Å, with angles of 90.00, 90.00 and 90.00 degrees. The inequivalent atoms are Al at (0.000, 0.173, 0.159), Ag at (0.000, 0.166, 0.500), Ag at (0.000, 0.500, 0.190) and Ag at (0.000, 0.500, 0.500).


Entry 2:
DFT (PBE) results for Al3Ag5 after structural relaxation.

The space group is R3m (No. 160, hexagonal axes) and the conventional cell measures 2.9623, 2.9623 and 54.3999 Å, with angles of 90.00, 90.00 and 120.00 degrees. The inequivalent atoms are Al at (0.0000, 0.0000, 0.0000), Al at (0.0000, 0.0000, 0.1243), Al at (0.0000, 0.0000, 0.4989), Ag at (0.0000, 0.0000, 0.2491), Ag at (0.0000, 0.0000, 0.3735), Ag at (0.0000, 0.0000, 0.6266), Ag at (0.0000, 0.0000, 0.7512) and Ag at (0.0000, 0.0000, 0.8719).


Entry 3:
DFT (PBE) results for AlAg2 after structural relaxation.

The space group is P2/m (No. 10) and the conventional cell measures 5.019, 2.943 and 7.081 Å, with angles of 90.00, 101.82 and 90.00 degrees. The inequivalent atoms are Al at (0.238, 0.000, 0.178), Ag at (0.000, 0.000, 0.500), Ag at (0.261, 0.500, 0.848) and Ag at (0.500, 0.500, 0.500).


Entry 4:
DFT (PBE) results for Al3Ag after structural relaxation.

The space group is Pm-3m (No. 221) and the conventional cell measures 4.075, 4.075 and 4.075 Å, with angles of 90.00, 90.00 and 90.00 degrees. The inequivalent atoms are Al at (0.000, 0.000, 0.500) and Ag at (0.500, 0.500, 0.500).


Entry 5:
DFT (PBE) results for AlAg after structural relaxation.

The space group is Fd-3m (No. 227, origin choice 2) and the conventional cell measures 6.547, 6.547 and 6.547 Å, with angles of 90.00, 90.00 and 90.00 degrees. The inequivalent atoms are Al at (0.125, 0.125, 0.125) and Ag at (0.125, 0.125, 0.625).


Entry 6:
DFT (PBE) results for Al3Ag5 after structural relaxation.

The space group is Cmm2 (No. 35) and the conventional cell measures 6.008, 7.755 and 5.871 Å, with angles of 90.00, 90.00 and 90.00 degrees. The inequivalent atoms are Al at (0.000, 0.000, 0.000), Al at (0.250, 0.250, 0.730), Ag at (0.000, 0.000, 0.506), Ag at (0.000, 0.500, 0.489), Ag at (0.000, 0.500, 0.969) and Ag at (0.250, 0.250, 0.223).


Entry 7:
DFT (PBE) results for Al5Ag3 after structural relaxation.

The space group is C222 (No. 21) and the conventional cell measures 5.923, 8.192 and 5.633 Å, with angles of 90.00, 90.00 and 90.00 degrees. The inequivalent atoms are Al at (0.000, 0.000, 0.000), Al at (0.000, 0.000, 0.500), Al at (0.000, 0.500, 0.000), Al at (0.250, 0.250, 0.255), Ag at (0.000, 0.500, 0.500) and Ag at (0.250, 0.250, 0.759).


Entry 8:
DFT (PBE) results for AlAg2 after structural relaxation.

The space group is Fd-3m (No. 227, origin choice 2) and the conventional cell measures 11.889, 11.889 and 11.889 Å, with angles of 90.00, 90.00 and 90.00 degrees. The inequivalent atoms are Al at (0.037, 0.037, 0.213), Ag at (0.000, 0.000, 0.000) and Ag at (0.058, 0.375, 0.875).


Entry 9:
DFT (PBE) results for Al2Ag5 after structural relaxation.

The space group is C2/m (No. 12) and the conventional cell measures 5.133, 2.943 and 16.150 Å, with angles of 90.00, 96.05 and 90.00 degrees. The inequivalent atoms are Al at (0.213, 0.000, 0.140), Ag at (0.000, 0.500, 0.000), Ag at (0.076, 0.000, 0.724) and Ag at (0.142, 0.500, 0.426).


Entry 10:
DFT (PBE) results for Al3Ag2 after structural relaxation.

The space group is Immm (No. 71) and the conventional cell measures 2.928, 4.029 and 14.440 Å, with angles of 90.00, 90.00 and 90.00 degrees. The inequivalent atoms are Al at (0.000, 0.000, 0.000), Al at (0.000, 0.000, 0.199) and Ag at (0.000, 0.000, 0.396).


Entry 11:
DFT (PBE) results for Al5Ag3 after structural relaxation.

The space group is I4mm (No. 107) and the conventional cell measures 4.050, 4.050 and 16.539 Å, with angles of 90.00, 90.00 and 90.00 degrees. The inequivalent atoms are Al at (0.000, 0.000, 0.000), Al at (0.000, 0.000, 0.247), Al at (0.000, 0.000, 0.748), Al at (0.000, 0.500, 0.373), Ag at (0.000, 0.000, 0.492) and Ag at (0.000, 0.500, 0.125).


Entry 12:
DFT (PBE) results for Al3Ag5 after structural relaxation.

The space group is P1 (No. 1) and the conventional cell measures 4.893, 5.028 and 5.896 Å, with angles of 107.07, 90.16 and 101.37 degrees. The inequivalent atoms are Al at (0.000, 0.000, 0.000), Al at (0.005, 0.011, 0.500), Al at (0.267, 0.502, 0.373), Ag at (0.257, 0.478, 0.872), Ag at (0.490, 0.005, 0.249), Ag at (0.507, 0.989, 0.744), Ag at (0.773, 0.520, 0.135) and Ag at (0.776, 0.512, 0.620).


Asked for E_form across the records above, the calculation gives -0.02; -0.03; -0.05; 0.06; 0.11; -0.04; 0.01; -0.04; -0.01; 0.00; -0.01; -0.05 eV per atom in order.